Computed, not measured: Th3Np2Se8 after structural relaxation at the PBE-GGA level of DFT.

## Properties
As for the density of states at the Fermi level: 21.526 states/eV/cell. Its crystal system is orthorhombic. For the calculated total energy, the calculation gives -7.26 eV per atom. The value obtained for the volume is 27.6 A^3/atom. The total magnetic moment is 8.69 μB per formula unit. The space group is Cmmm. For the formation energy (no corrections), the calculation gives -1409 meV per atom.

Cell lengths 8.6886, 8.6886, 5.0300 Å; angles 90.00, 90.00, 109.29 degrees
Positions (direct):
Th: 0.0000 0.0000 0.0000
Th: 0.2703 0.2703 0.5000
Th: 0.7297 0.7297 0.5000
Np: 0.2633 0.7367 0.0000
Np: 0.7367 0.2633 0.0000
Se: 0.1186 0.3675 0.0000
Se: 0.1193 0.8807 0.5000
Se: 0.3675 0.1186 0.0000
Se: 0.3714 0.6286 0.5000
Se: 0.6286 0.3714 0.5000
Se: 0.6325 0.8814 0.0000
Se: 0.8807 0.1193 0.5000
Se: 0.8814 0.6325 0.0000

Computed, not measured: ThNpSe2 after structural relaxation at the PBE-GGA level of DFT.

## Properties
As for the density of states at the Fermi level: 8.261 states/eV/cell. Its crystal system is trigonal. For the calculated total energy, the calculation gives -8.16 eV per atom. The value obtained for the volume is 25.2 A^3/atom. The total magnetic moment is 4.37 μB per formula unit. The space group is R-3m. For the formation energy (no corrections), the calculation gives -1328 meV per atom.

Cell lengths 7.2428, 7.2428, 7.2428 Å; angles 33.10, 33.10, 33.10 degrees
Positions (direct):
Th: 0.0000 0.0000 0.0000
Np: 0.5000 0.5000 0.5000
Se: 0.2459 0.2459 0.2459
Se: 0.7541 0.7541 0.7541

Computed, not measured: Th2Np3Se8 after structural relaxation at the PBE-GGA level of DFT.

## Properties
As for the density of states at the Fermi level: 20.770 states/eV/cell. Its crystal system is orthorhombic. For the calculated total energy, the calculation gives -7.61 eV per atom. The value obtained for the volume is 26.6 A^3/atom. The total magnetic moment is 12.96 μB per formula unit. The space group is Cmmm. For the formation energy (no corrections), the calculation gives -1335 meV per atom.

Cell lengths 8.6203, 8.6203, 4.9490 Å; angles 90.00, 90.00, 109.94 degrees
Positions (direct):
Th: 0.2394 0.7606 0.0000
Th: 0.7606 0.2394 0.0000
Np: 0.2383 0.2383 0.5000
Np: 0.5000 0.5000 0.0000
Np: 0.7617 0.7617 0.5000
Se: 0.1253 0.8747 0.5000
Se: 0.1344 0.3807 0.0000
Se: 0.3797 0.6203 0.5000
Se: 0.3807 0.1344 0.0000
Se: 0.6193 0.8656 0.0000
Se: 0.6203 0.3797 0.5000
Se: 0.8656 0.6193 0.0000
Se: 0.8747 0.1253 0.5000

Computed, not measured: Th3NpSe6 after structural relaxation at the PBE-GGA level of DFT.

## Properties
As for the density of states at the Fermi level: 22.697 states/eV/cell. Its crystal system is monoclinic. For the calculated total energy, the calculation gives -7.12 eV per atom. The value obtained for the volume is 27.9 A^3/atom. The total magnetic moment is 4.51 μB per formula unit. The space group is P2_1/m. For the formation energy (no corrections), the calculation gives -1505 meV per atom.

Cell lengths 11.4984, 4.2252, 11.9397 Å; angles 90.00, 105.68, 90.00 degrees
Positions (direct):
Th: 0.1011 0.2500 0.1642
Th: 0.1936 0.7500 0.5120
Th: 0.3458 0.2500 0.9369
Th: 0.6542 0.7500 0.0631
Th: 0.8064 0.2500 0.4880
Th: 0.8989 0.7500 0.8358
Np: 0.4560 0.2500 0.3071
Np: 0.5440 0.7500 0.6929
Se: 0.0258 0.2500 0.3840
Se: 0.0839 0.2500 0.9120
Se: 0.2613 0.7500 0.2891
Se: 0.3009 0.7500 0.7615
Se: 0.3861 0.2500 0.5455
Se: 0.4183 0.7500 0.1123
Se: 0.5817 0.2500 0.8877
Se: 0.6139 0.7500 0.4545
Se: 0.6991 0.2500 0.2385
Se: 0.7387 0.2500 0.7109
Se: 0.9161 0.7500 0.0880
Se: 0.9742 0.7500 0.6160

Computed, not measured: Th4NpSe5 after structural relaxation at the PBE-GGA level of DFT.

## Properties
As for the density of states at the Fermi level: 14.241 states/eV/cell. Its crystal system is tetragonal. For the calculated total energy, the calculation gives -7.45 eV per atom. The value obtained for the volume is 25.9 A^3/atom. The total magnetic moment is 4.45 μB per formula unit. The space group is I4/m. For the formation energy (no corrections), the calculation gives -1448 meV per atom.

Cell lengths 7.2511, 7.2511, 7.2511 Å; angles 99.59, 99.59, 131.83 degrees
Positions (direct):
Th: 0.0978 0.3025 0.4003
Th: 0.3025 0.9022 0.2047
Th: 0.6975 0.0978 0.7953
Th: 0.9022 0.6975 0.5997
Np: 0.5000 0.5000 0.0000
Se: 0.0000 0.0000 0.0000
Se: 0.2061 0.6003 0.8064
Se: 0.3997 0.2061 0.6058
Se: 0.6003 0.7939 0.3942
Se: 0.7939 0.3997 0.1936

Computed, not measured: ThNpSe4 after structural relaxation at the PBE-GGA level of DFT.

## Properties
As for the density of states at the Fermi level: 10.282 states/eV/cell. Its crystal system is tetragonal. For the calculated total energy, the calculation gives -7.08 eV per atom. The value obtained for the volume is 27.5 A^3/atom. The total magnetic moment is 3.00 μB per formula unit. The space group is P4/mmm. For the formation energy (no corrections), the calculation gives -1367 meV per atom.

Cell lengths 4.8857, 4.8857, 6.9062 Å; angles 90.00, 90.00, 90.00 degrees
Positions (direct):
Th: 0.0000 0.0000 0.0000
Np: 0.5000 0.5000 0.5000
Se: 0.0000 0.5000 0.2561
Se: 0.0000 0.5000 0.7439
Se: 0.5000 0.0000 0.2561
Se: 0.5000 0.0000 0.7439